NaIF2 after structural relaxation. Source: Alexandria, functional GGA-PBE.

Output
The uncorrected formation energy comes out at -1.1186 eV/atom. The density of states at the Fermi level is 0.89 states/eV/f.u. Its energy above the most stable polymorph in this dataset is 243 kJ/mol of formula units. The crystal system is cubic. The calculated volume comes out at 73.3 Å³/cell.

abc: 4.6972 4.6972 4.6972
angles: 60.00 60.00 60.00
Site moments in Bohr magnetons follow the coordinates.
Positions (direct):
I 0.5000 0.5000 0.5000  0.95
F 0.2500 0.2500 0.2500  0.31
F 0.7500 0.7500 0.7500  0.31
Na 0.0000 0.0000 0.0000  0.00

***

Zn2FeAs2 after structural relaxation. Source: Alexandria, functional GGA-PBE.

Output
The density of states at the Fermi level is 2.57 states/eV/f.u. As for the formation energy: 0.16 eV/atom. The crystal system is tetragonal. The calculated volume comes out at 165.6 Å³/cell.

abc: 6.0413 6.0413 4.5380
angles: 90.00 90.00 90.00
Site moments in Bohr magnetons follow the coordinates.
Positions (direct):
Zn 0.8151 0.3151 0.5000  0.00
Zn 0.6849 0.8151 0.5000  0.00
Zn 0.1849 0.6849 0.5000  0.00
Zn 0.3151 0.1849 0.5000  0.00
Fe 0.0000 0.0000 0.0000  0.87
Fe 0.5000 0.5000 0.0000  0.87
As 0.6482 0.1482 0.0000  -0.03
As 0.8518 0.6482 0.0000  -0.03
As 0.1482 0.3518 0.0000  -0.03
As 0.3518 0.8518 0.0000  -0.03

***

Y2NiH after structural relaxation. Source: Alexandria, functional GGA-PBE.

Output
The density of states at the Fermi level is 3.65 states/eV/f.u. Its energy above the most stable polymorph in this dataset is 86 kJ/mol of formula units. The crystal system is cubic. The calculated volume comes out at 73.4 Å³/cell.

abc: 4.7002 4.7002 4.7002
angles: 60.00 60.00 60.00
Positions (direct):
H 0.0000 0.0000 0.0000
Y 0.2500 0.2500 0.2500
Y 0.7500 0.7500 0.7500
Ni 0.5000 0.5000 0.5000

***

AcHoTlAg after structural relaxation. Source: Alexandria, functional GGA-PBE.

Output
The density of states at the Fermi level is 2.98 states/eV/f.u. As for the formation energy: -0.27 eV/atom. Its energy above the most stable polymorph in this dataset is 14 kJ/mol of formula units. The crystal system is cubic. The calculated volume comes out at 118.7 Å³/cell.

abc: 5.5171 5.5171 5.5171
angles: 60.00 60.00 60.00
Positions (direct):
Ag 0.7500 0.7500 0.7500
Ac 0.0000 0.0000 0.0000
Ho 0.5000 0.5000 0.5000
Tl 0.2500 0.2500 0.2500

***

InSn6 after structural relaxation. Source: Alexandria, functional GGA-PBE.

Output
The density of states at the Fermi level is 5.08 states/eV/f.u. As for the formation energy: 0.24 eV/atom. The crystal system is cubic. The calculated volume comes out at 270.3 Å³/cell.

abc: 7.0547 7.0547 7.0547
angles: 109.47 109.47 109.47
Positions (direct):
Sn 0.7500 0.2500 0.5000
Sn 0.2500 0.5000 0.7500
Sn 0.5000 0.7500 0.2500
Sn 0.5000 0.2500 0.7500
Sn 0.7500 0.5000 0.2500
Sn 0.2500 0.7500 0.5000
In 0.0000 0.0000 0.0000

***

Ge2BiTePb after structural relaxation. Source: Alexandria, functional GGA-PBE.

Output
The uncorrected formation energy comes out at 0.8527 eV/atom. The density of states at the Fermi level is 5.07 states/eV/f.u. The crystal system is tetragonal. The calculated volume comes out at 173.8 Å³/cell.

abc: 5.4283 5.8985 5.4283
angles: 90.00 90.00 90.00
Positions (direct):
Pb 0.0000 0.0000 0.0000
Ge 0.5000 0.0000 0.0000
Ge 0.0000 0.0000 0.5000
Te 0.0000 0.5000 0.0000
Bi 0.5000 0.5000 0.5000

***

BaNa3Li2 after structural relaxation. Source: Alexandria, functional GGA-PBE.

Output
The density of states at the Fermi level is 5.30 states/eV/f.u. As for the formation energy: 0.05 eV/atom. Its energy above the most stable polymorph in this dataset is 0 kJ/mol of formula units. The crystal system is orthorhombic. The calculated volume comes out at 439.5 Å³/cell.

abc: 6.9147 8.7129 8.7129
angles: 75.42 66.62 66.62
Positions (direct):
Li 0.6837 0.0839 0.0839
Li 0.3514 0.4161 0.4161
Li 0.3163 0.9161 0.9161
Li 0.6486 0.5839 0.5839
Na 0.5000 0.7567 0.2433
Na 0.5000 0.2433 0.7567
Na 0.5000 0.5000 0.0000
Na 0.5000 0.0000 0.5000
Na 0.0000 0.7433 0.2567
Na 0.0000 0.2567 0.7433
Ba 0.0079 0.2500 0.2500
Ba 0.9921 0.7500 0.7500

***

TmNp2Tl3Te6 after structural relaxation. Source: Alexandria, functional GGA-PBE.

Output
The uncorrected formation energy comes out at -0.7085 eV/atom. The density of states at the Fermi level is 19.38 states/eV/f.u. The crystal system is monoclinic. The calculated volume comes out at 424.4 Å³/cell.

abc: 7.7346 7.7346 8.5852
angles: 98.64 98.64 119.98
Site moments in Bohr magnetons follow the coordinates.
Positions (direct):
Te 0.9291 0.6012 0.7873  -0.06
Te 0.2564 0.2564 0.7859  -0.05
Te 0.7436 0.7436 0.2141  -0.05
Te 0.3988 0.0709 0.2127  -0.06
Te 0.0709 0.3988 0.2127  -0.06
Te 0.6012 0.9291 0.7873  -0.06
Tl 0.1681 0.8319 0.5000  -0.01
Tl 0.8319 0.1681 0.5000  -0.01
Tl 0.5000 0.5000 0.5000  -0.01
Np 0.6664 0.3336 0.0000  4.01
Np 0.3336 0.6664 0.0000  4.01
Tm 0.0000 0.0000 0.0000  0.03

***

Er4GaRh3 after structural relaxation. Source: Alexandria, functional GGA-PBE.

Output
The density of states at the Fermi level is 4.66 states/eV/f.u. As for the formation energy: -0.84 eV/atom. The crystal system is orthorhombic. The calculated volume comes out at 161.9 Å³/cell.

abc: 3.4895 4.8266 9.6125
angles: 90.00 90.00 90.00
Positions (direct):
Er 0.0000 0.0000 0.5000
Er 0.0000 0.5000 0.7406
Er 0.0000 0.0000 0.0000
Er 0.0000 0.5000 0.2594
Rh 0.5000 0.0000 0.2499
Rh 0.5000 0.5000 0.5000
Rh 0.5000 0.0000 0.7501
Ga 0.5000 0.5000 0.0000

***

AgSb2TeO after structural relaxation. Source: Alexandria, functional GGA-PBE.

Output
The uncorrected formation energy comes out at 0.1401 eV/atom. The density of states at the Fermi level is 2.82 states/eV/f.u. Its energy above the most stable polymorph in this dataset is 0 kJ/mol of formula units. The crystal system is tetragonal. The calculated volume comes out at 112.9 Å³/cell.

abc: 4.7262 4.7262 5.0531
angles: 90.00 90.00 90.00
Positions (direct):
O 0.0000 0.0000 0.0000
Sb 0.0000 0.5000 0.0000
Sb 0.5000 0.0000 0.0000
Te 0.0000 0.0000 0.5000
Ag 0.5000 0.5000 0.5000

***

NaPmCd6 after structural relaxation. Source: Alexandria, functional GGA-PBE.

Output
The density of states at the Fermi level is 3.75 states/eV/f.u. As for the formation energy: -0.18 eV/atom. The crystal system is orthorhombic. The calculated volume comes out at 196.1 Å³/cell.

abc: 5.0266 6.6346 6.6346
angles: 117.59 90.00 90.00
Positions (direct):
Cd 0.0000 0.5818 0.4182
Cd 0.0000 0.0650 0.3931
Cd 0.0000 0.6069 0.9350
Cd 0.5000 0.4370 0.1071
Cd 0.5000 0.9178 0.0822
Cd 0.5000 0.8929 0.5630
Na 0.5000 0.4022 0.5978
Pm 0.0000 0.0962 0.9038

***

Tb6Er2TmTh after structural relaxation. Source: Alexandria, functional GGA-PBE.

Output
The density of states at the Fermi level is 14.41 states/eV/f.u. As for the formation energy: 0.15 eV/atom. The crystal system is monoclinic. The calculated volume comes out at 640.7 Å³/cell.

abc: 9.2038 8.8258 8.8258
angles: 116.39 92.08 92.08
Positions (direct):
Tb 0.4404 0.2276 0.8780
Tb 0.9404 0.8780 0.2276
Tb 0.0596 0.1220 0.7724
Tb 0.3915 0.5193 0.2855
Tb 0.6085 0.4807 0.7145
Tb 0.6906 0.0050 0.5666
Tb 0.8094 0.4334 0.9950
Tb 0.5596 0.7724 0.1220
Tb 0.1085 0.7145 0.4807
Tb 0.8915 0.2855 0.5193
Tb 0.3094 0.9950 0.4334
Tb 0.1906 0.5666 0.0050
Er 0.4441 0.7959 0.6901
Er 0.0559 0.3099 0.2041
Er 0.5559 0.2041 0.3099
Er 0.9441 0.6901 0.7959
Tm 0.7500 0.5844 0.4156
Tm 0.2500 0.4156 0.5844
Th 0.7500 0.0340 0.9660
Th 0.2500 0.9660 0.0340